12
Lattice="-1.890 4.302 -2.960 -4.947 0.428 3.780 7.169 2.297 3.971" Properties=species:S:1:pos:R:3 comment="PBE Ce2PuAlOs2, optimized geometry" dos_ef_per_ev_cell=24.68 ef_ev_per_atom=-0.19 e_tot_ev_per_atom=-8.92 pbc="T T T"
Os -1.389 3.432 0.664
Os 2.967 5.557 0.972
Os 1.721 3.596 4.127
Os -2.635 1.470 3.819
Ce 0.065 1.714 2.450
Ce -3.370 4.081 2.872
Ce 0.267 5.313 2.341
Ce 3.702 2.946 1.919
Pu -0.472 1.076 -0.740
Pu -1.417 3.227 -2.220
Al -2.946 1.290 1.150
Al -3.891 3.441 -0.330